Here is an optimized crystal structure of BeCoOs2 from Alexandria. Energies are from PBE-GGA.

Values from the calculation:
formation enthalpy at 0 K = 268.5 meV/atom
DFT total energy = -8.054 eV/atom
SG = Pmmm, No. 47

abc: 2.827 4.377 4.072
angles: 90.00 90.00 90.00
Each line ends with the local moment (μB).
Fractional coordinates of all 4 atoms:
Co (0.000, 0.500, 0.500)  1.39
Os (0.000, 0.000, 0.000)  0.07
Be (0.500, 0.000, 0.500)  -0.01
Os (0.500, 0.500, 0.000)  0.41